16
Lattice="-8.3474 2.4792 -0.1638 -1.1136 -3.1917 8.4397 6.3036 5.8303 -1.4569" Properties=species:S:1:pos:R:3 comment="Pm8Ga3I4Br PBE relaxed" magnetic_moment_mub_per_fu=0.0 sg=R-3m dos_at_fermi_per_ev_atom=0.5046 e_tot_ev_per_cell=-68.444 rho_g_cm3=6.53 pbc="T T T"
Pm 3.2536 3.9597 4.4986
Pm 0.2487 1.1805 5.1932
Pm 0.8011 2.8093 1.6921
Pm -0.7257 5.1415 4.4205
Pm -2.4317 -0.0238 2.3984
Pm -3.9585 2.3085 5.1268
Pm -3.4060 3.9373 1.6257
Pm -6.4110 1.1581 2.3203
Ga -4.7305 -0.3563 4.1379
Ga -1.5787 2.5589 3.4095
Ga 2.5950 1.3193 3.4914
I -4.1737 1.2396 -0.0819
I -1.0219 4.1547 -0.8104
I 0.0000 0.0000 0.0000
I 3.1518 2.9151 -0.7285
Br -0.5568 -1.5959 4.2198